# 1
{"formula": "BeHgB3", "functional": "GGA-PBE", "state": "relaxed", "lattice": [[3.896, 0.000, 0.000], [0.000, 3.896, 0.000], [0.000, 0.000, 3.896]], "species": ["Be", "Hg", "B", "B", "B"], "frac_coords": [[0.000, 0.000, 0.000], [0.500, 0.500, 0.500], [0.000, 0.000, 0.500], [0.000, 0.500, 0.000], [0.500, 0.000, 0.000]], "de_polymorph_ev_per_atom": 0.0000, "sg": "Pm-3m", "dos_at_fermi_per_ev_cell": 2.2, "ef_ev_per_atom": 1.685}

***

# 2
{"formula": "BeHgB2I", "functional": "GGA-PBE", "state": "relaxed", "lattice": [[4.075, 0.000, 0.000], [0.000, 4.075, 0.000], [0.000, 0.000, 9.649]], "species": ["Be", "Hg", "B", "B", "I"], "frac_coords": [[0.000, 0.000, 0.000], [0.500, 0.500, 0.500], [0.000, 0.500, 0.500], [0.500, 0.000, 0.500], [0.500, 0.500, 0.000]], "sg": "P4/mmm", "dos_at_fermi_per_ev_cell": 2.0, "e_form_raw_ev_per_atom": 1.75}